Entry from Alexandria via LeMat-Bulk: a geometry-optimized Ba3GaPt3 structure (PBE).

Energy of formation from the pure elements (eV per atom): -0.7435
Size of the total moment (μB/atom): 0.000

Cell lengths 4.601, 6.411, 14.863 Å; angles 86.10, 81.10, 68.97 degrees
Positions (direct):
1 Ba 0.524 0.337 0.615
2 Ba 0.476 0.663 0.385
3 Ba 0.252 0.269 0.228
4 Ba 0.748 0.731 0.772
5 Ba 0.400 0.276 0.923
6 Ba 0.600 0.724 0.077
7 Ga 0.763 0.069 0.405
8 Ga 0.237 0.931 0.595
9 Pt 0.834 0.786 0.547
10 Pt 0.166 0.214 0.453
11 Pt 0.107 0.864 0.922
12 Pt 0.893 0.136 0.078
13 Pt 0.932 0.890 0.246
14 Pt 0.068 0.110 0.754

***

Entry from Alexandria via LeMat-Bulk: a geometry-optimized K2LaCu structure (PBE).

Energy of formation from the pure elements (eV per atom): 0.4853
Size of the total moment (μB/atom): 0.001

Cell lengths 3.702, 3.702, 11.553 Å; angles 90.00, 90.00, 90.12 degrees
Positions (direct):
1 Cu 0.500 0.500 0.750
2 K 0.000 0.000 0.932
3 K 0.000 0.000 0.568
4 La 0.500 0.500 0.250

***

Entry from Alexandria via LeMat-Bulk: a geometry-optimized Y2NbMo2 structure (PBE).

Energy of formation from the pure elements (eV per atom): 0.9360
Size of the total moment (μB/atom): 0.000

Cell lengths 4.092, 4.092, 7.365 Å; angles 73.87, 73.87, 90.00 degrees
Positions (direct):
1 Y 0.750 0.250 0.500
2 Y 0.250 0.750 0.500
3 Mo 0.420 0.420 0.160
4 Mo 0.580 0.580 0.840
5 Nb 0.000 0.000 0.000

***

Entry from Alexandria via LeMat-Bulk: a geometry-optimized Cs2AgTe2H structure (PBE).

Final energy (eV/atom): -2.6192
Size of the total moment (μB/atom): 0.000

Cell lengths 7.048, 7.339, 9.499 Å; angles 112.73, 111.78, 90.00 degrees
Positions (direct):
1 Cs 0.660 0.928 0.319
2 Cs 0.160 0.391 0.319
3 Cs 0.840 0.609 0.681
4 Cs 0.340 0.072 0.681
5 Ag 0.750 0.500 0.000
6 Ag 0.250 0.500 0.000
7 Te 0.421 0.686 0.843
8 Te 0.579 0.314 0.157
9 Te 0.079 0.843 0.157
10 Te 0.921 0.157 0.843
11 H 0.250 0.000 0.000
12 H 0.750 0.000 0.000

***

Entry from Alexandria via LeMat-Bulk: a geometry-optimized Zn2CdTe structure (PBE).

Size of the total moment (μB/atom): 0.000
Uncorrected formation energy (eV per atom): 0.18

Cell lengths 5.082, 5.082, 5.082 Å; angles 60.00, 60.00, 60.00 degrees
Positions (direct):
1 Cd 0.500 0.500 0.500
2 Te 0.750 0.750 0.750
3 Zn 0.000 0.000 0.000
4 Zn 0.250 0.250 0.250

***

Entry from Alexandria via LeMat-Bulk: a geometry-optimized Pr2NdSm4Th structure (PBE).

Energy of formation from the pure elements (eV per atom): 0.0288
Size of the total moment (μB/atom): 0.000

Cell lengths 3.656, 6.330, 12.064 Å; angles 79.79, 90.00, 90.00 degrees
Positions (direct):
1 Pr 0.000 0.000 0.000
2 Pr 0.500 0.000 0.500
3 Nd 0.500 0.500 0.000
4 Sm 0.000 0.747 0.748
5 Sm 0.000 0.253 0.252
6 Sm 0.500 0.742 0.256
7 Sm 0.500 0.258 0.744
8 Th 0.000 0.500 0.500

***

Entry from Alexandria via LeMat-Bulk: a geometry-optimized MnBiSb3 structure (PBE).

Size of the total moment (μB/atom): 0.000
Uncorrected formation energy (eV per atom): 0.35

Cell lengths 5.032, 5.032, 5.032 Å; angles 90.00, 90.00, 90.00 degrees
Positions (direct):
1 Sb 0.000 0.500 0.000
2 Sb 0.000 0.000 0.500
3 Sb 0.500 0.000 0.000
4 Mn 0.000 0.000 0.000
5 Bi 0.500 0.500 0.500

***

Entry from Alexandria via LeMat-Bulk: a geometry-optimized ReSbOF2 structure (PBE).

Size of the total moment (μB/atom): 0.000
Uncorrected formation energy (eV per atom): -0.61

Cell lengths 4.484, 4.484, 3.753 Å; angles 90.00, 90.00, 90.00 degrees
Positions (direct):
1 Re 0.000 0.000 0.000
2 F 0.000 0.500 0.000
3 F 0.500 0.000 0.000
4 O 0.000 0.000 0.500
5 Sb 0.500 0.500 0.500